# Sr2YNi, optimized geometry, DFT GGA-PBEsol
# - E above lowest polymorph (eV per atom) = 0.000
# - DFT formation energy (eV/atom) = 0.09
# - calculated density (g/cm³) = 4.22
# - raw total energy (eV per atom) = -4.07
data_Sr2YNi
_cell_length_a 3.692
_cell_length_b 5.923
_cell_length_c 11.609
_cell_angle_alpha 90.00
_cell_angle_beta 90.00
_cell_angle_gamma 90.00
_space_group_name_H-M_alt 'I m m 2'
_space_group_IT_number 44
_space_group_name_Hall 'I 2 -2'
loop_
_atom_site_label
_atom_site_fract_x
_atom_site_fract_y
_atom_site_fract_z
_atom_site_occupancy
Sr1 0.000 0.000 0.000 1
Sr2 0.000 0.500 0.182 1
Y1 0.000 0.500 0.823 1
Ni1 0.000 0.000 0.479 1